[1]
The following is a DFT calculation (meta-GGA SCAN) of a crystal of SmRe2SiC relaxed with PBEsol.

Computed properties:
Symmetry ... No. 63
E_tot ... -418.605 eV per cell
Formation energy (no corrections) ... -0.5100 eV per atom

a = 3.964 Å, b = 5.776 Å, c = 7.258 Å
α = 90.00°, β = 90.00°, γ = 110.07°
Sites, in units of the cell vectors:
Re: 0.174 0.349 0.438
Re: 0.826 0.651 0.938
Re: 0.174 0.349 0.062
Re: 0.826 0.651 0.562
Si: 0.735 0.470 0.250
Si: 0.265 0.530 0.750
Sm: 0.543 0.086 0.750
Sm: 0.457 0.914 0.250
C: 0.000 0.000 0.000
C: 0.000 0.000 0.500

---

[2]
The following is a DFT calculation (meta-GGA SCAN) of a crystal of Sm2Re2Si2C relaxed with PBEsol.

Computed properties:
Symmetry ... No. 12
E_tot ... -265.723 eV per cell
Formation energy (no corrections) ... -0.6446 eV per atom

a = 3.990 Å, b = 5.822 Å, c = 6.025 Å
α = 72.48°, β = 70.66°, γ = 69.96°
Sites, in units of the cell vectors:
Sm: 0.573 0.155 0.699
Sm: 0.427 0.845 0.301
C: 0.000 0.000 0.000
Si: 0.143 0.399 0.314
Si: 0.857 0.601 0.686
Re: 0.794 0.324 0.089
Re: 0.206 0.676 0.911

---

[3]
The following is a DFT calculation (meta-GGA SCAN) of a crystal of Tb2Re2Si2C relaxed with PBEsol.

Computed properties:
Symmetry ... No. 12
E_tot ... -270.537 eV per cell
Formation energy (no corrections) ... -0.6695 eV per atom

a = 3.950 Å, b = 5.767 Å, c = 5.969 Å
α = 71.85°, β = 70.68°, γ = 69.97°
Sites, in units of the cell vectors:
C: 0.000 0.000 0.000
Re: 0.792 0.324 0.091
Re: 0.208 0.676 0.909
Si: 0.859 0.603 0.679
Si: 0.141 0.397 0.321
Tb: 0.572 0.154 0.701
Tb: 0.428 0.846 0.299